# 1
Material: DyTmWO6
Method: DFT, GGA+U
State: relaxed

Cell and atoms, written as POSCAR:
```
DyTmWO6
1.0
5.517 0.000 0.000
-2.759 4.778 0.000
0.000 0.000 9.312
Dy Tm W O
2 2 2 12
direct
0.333 0.667 0.250
0.667 0.333 0.750
0.000 0.000 0.000
0.000 0.000 0.500
0.333 0.667 0.750
0.667 0.333 0.250
0.042 0.366 0.633
0.042 0.676 0.867
0.324 0.366 0.867
0.324 0.958 0.633
0.366 0.042 0.133
0.366 0.324 0.367
0.634 0.676 0.633
0.634 0.958 0.867
0.676 0.042 0.367
0.676 0.634 0.133
0.958 0.324 0.133
0.958 0.634 0.367
```

Properties
As for the total magnetization: 0.00 μB per formula unit. The final energy is -144.61 eV per cell.



# 2
Material: DyTm2WO8
Method: DFT, GGA+U
State: relaxed

Cell and atoms, written as POSCAR:
```
DyTm2WO8
1.0
3.511 -3.557 0.000
3.511 3.557 0.000
0.000 0.000 6.770
Dy Tm W O
1 2 1 8
direct
0.000 0.000 0.000
0.500 0.500 0.252
0.500 0.500 0.748
0.000 0.000 0.500
0.186 0.814 0.287
0.186 0.814 0.713
0.279 0.279 0.500
0.311 0.311 0.000
0.689 0.689 0.000
0.721 0.721 0.500
0.814 0.186 0.287
0.814 0.186 0.713
```

Properties
As for the total magnetization: 0.33 μB per formula unit. The final energy is -95.09 eV per cell.